No. 1
BaScW: relaxed, GGA-PBE. Values from VASP.

The structure in Quantum ESPRESSO input format:
```
&SYSTEM
  ibrav = 0, nat = 3, ntyp = 3
/
ATOMIC_SPECIES
Ba 137.33 Ba.upf
Sc 44.96 Sc.upf
W 183.84 W.upf
ATOMIC_POSITIONS angstrom
Ba 0.205 -0.165 0.418
Sc 0.291 -3.003 -0.747
W 3.278 -1.596 0.090
CELL_PARAMETERS angstrom
-2.287 -4.740 -0.749
4.834 0.963 -1.991
1.227 -0.987 2.502
```

Values from the calculation:
N(E_F): 4.83 states/eV/f.u.
E above lowest polymorph: 0.77 eV per formula unit
Space-group type: P-6m2 (187)
Energy of formation from the pure elements: 1.11 eV per atom
Calculated total energy: -5.96 eV/atom

***

No. 2
NaPrHo: relaxed, GGA-PBE. Values from VASP.

The structure in Quantum ESPRESSO input format:
```
&SYSTEM
  ibrav = 0, nat = 3, ntyp = 3
/
ATOMIC_SPECIES
Pr 140.91 Pr.upf
Na 22.99 Na.upf
Ho 164.93 Ho.upf
ATOMIC_POSITIONS angstrom
Pr -1.746 -3.328 -0.693
Na -3.375 -7.574 1.959
Ho -1.653 -4.309 2.692
CELL_PARAMETERS angstrom
-3.093 0.085 -1.763
1.379 -2.104 -2.520
-1.673 -5.586 6.263
```

Values from the calculation:
N(E_F): 3.89 states/eV/f.u.
E above lowest polymorph: 0.06 eV per formula unit
Space-group type: I4mm (107)
Energy of formation from the pure elements: 0.15 eV per atom
Calculated total energy: -3.41 eV/atom

***

No. 3
TiIn2S: relaxed, GGA-PBE. Values from VASP.

The structure in Quantum ESPRESSO input format:
```
&SYSTEM
  ibrav = 0, nat = 8, ntyp = 3
/
ATOMIC_SPECIES
S 32.06 S.upf
Ti 47.87 Ti.upf
In 114.82 In.upf
ATOMIC_POSITIONS angstrom
S 3.903 3.903 0.000
S 3.903 7.805 1.460
Ti 0.000 0.000 0.000
Ti 7.805 3.903 1.460
In 5.712 1.951 0.730
In 2.093 5.854 0.730
In 5.854 5.996 2.190
In 9.757 9.615 2.190
CELL_PARAMETERS angstrom
7.805 0.000 0.000
0.000 7.805 0.000
3.903 3.903 2.920
```

Values from the calculation:
N(E_F): 3.58 states/eV/f.u.
Formation energy (no corrections): 0.095 eV/atom
Space-group type: I-42d (122)
Calculated total energy: -4.28 eV/atom

***

No. 4
SmYTm2S4: relaxed, GGA-PBE. Values from VASP.

The structure in Quantum ESPRESSO input format:
```
&SYSTEM
  ibrav = 0, nat = 8, ntyp = 4
/
ATOMIC_SPECIES
Sm 150.36 Sm.upf
Y 88.91 Y.upf
Tm 168.93 Tm.upf
S 32.06 S.upf
ATOMIC_POSITIONS angstrom
Sm -1.920 -2.191 2.635
Y 1.465 -3.410 4.092
Tm 4.176 -0.773 5.231
Tm 0.791 0.447 3.774
S 2.147 -5.190 6.135
S -1.811 0.036 4.367
S -1.202 -3.960 4.712
S 1.537 -1.194 5.790
CELL_PARAMETERS angstrom
-2.595 1.666 2.317
-1.246 -6.047 2.953
4.176 -0.773 5.231
```

Values from the calculation:
N(E_F): 4.43 states/eV/f.u.
Formation energy (no corrections): -1.970 eV/atom
Space-group type: P2/m (10)
Calculated total energy: -6.55 eV/atom

***

No. 5
Y2ZrMo: relaxed, GGA-PBE. Values from VASP.

The structure in Quantum ESPRESSO input format:
```
&SYSTEM
  ibrav = 0, nat = 4, ntyp = 3
/
ATOMIC_SPECIES
Mo 95.94 Mo.upf
Y 88.91 Y.upf
Zr 91.22 Zr.upf
ATOMIC_POSITIONS angstrom
Mo -4.518 -4.754 4.528
Y -3.787 -6.020 7.056
Y -2.075 -3.298 3.865
Zr -2.564 -1.648 0.887
CELL_PARAMETERS angstrom
-2.452 1.932 0.332
-0.722 -2.122 -2.198
-3.907 -6.212 7.281
```

Values from the calculation:
N(E_F): 7.14 states/eV/f.u.
E above lowest polymorph: 1.19 eV per formula unit
Space-group type: Cmmm (65)
Energy of formation from the pure elements: 0.42 eV per atom
Calculated total energy: -7.66 eV/atom

***

No. 6
La2Pm2Pr5: relaxed, GGA-PBE. Values from VASP.

The structure in Quantum ESPRESSO input format:
```
&SYSTEM
  ibrav = 0, nat = 18, ntyp = 3
/
ATOMIC_SPECIES
La 138.91 La.upf
Pm 145.00 Pm.upf
Pr 140.91 Pr.upf
ATOMIC_POSITIONS angstrom
La 0.000 0.158 0.000
La 6.110 3.649 0.000
La 0.036 0.603 3.830
La 6.074 4.095 3.830
Pm 0.050 3.896 1.909
Pm 6.060 0.404 5.751
Pm 6.060 0.404 1.909
Pm 0.050 3.896 5.751
Pr -2.979 1.471 6.826
Pr 9.089 4.963 0.833
Pr -3.131 -2.021 6.826
Pr 9.241 1.471 0.833
Pr 2.828 -0.785 2.186
Pr 3.282 2.707 5.473
Pr 3.282 2.707 2.186
Pr 2.828 -0.785 5.473
Pr -2.842 2.897 3.830
Pr 8.952 -0.595 3.830
CELL_PARAMETERS angstrom
12.220 0.000 0.000
0.000 6.984 0.000
-6.110 -3.492 7.659
```

Values from the calculation:
N(E_F): 14.71 states/eV/f.u.
E above lowest polymorph: 1.43 eV per formula unit
Space-group type: Ima2 (46)
Energy of formation from the pure elements: 0.17 eV per atom
Calculated total energy: -4.64 eV/atom

***

No. 7
Zr2Rh: relaxed, GGA-PBE. Values from VASP.

The structure in Quantum ESPRESSO input format:
```
&SYSTEM
  ibrav = 0, nat = 3, ntyp = 2
/
ATOMIC_SPECIES
Rh 102.91 Rh.upf
Zr 91.22 Zr.upf
ATOMIC_POSITIONS angstrom
Rh 0.000 0.000 0.000
Zr -1.649 -5.470 -6.122
Zr -0.550 -1.823 -2.041
CELL_PARAMETERS angstrom
-3.017 -1.212 -3.195
1.449 -1.676 -3.984
-0.631 -4.406 -0.984
```

Values from the calculation:
N(E_F): 2.99 states/eV/f.u.
Space-group type: Fm-3m (225)
Energy of formation from the pure elements: -0.33 eV per atom
Calculated total energy: -8.48 eV/atom

***

No. 8
K2LiTa: relaxed, GGA-PBE. Values from VASP.

The structure in Quantum ESPRESSO input format:
```
&SYSTEM
  ibrav = 0, nat = 4, ntyp = 3
/
ATOMIC_SPECIES
K 39.10 K.upf
Li 6.94 Li.upf
Ta 180.95 Ta.upf
ATOMIC_POSITIONS angstrom
K 0.000 0.000 0.000
K 3.701 0.674 -0.777
Li 2.674 -1.442 1.991
Ta 0.226 0.140 4.022
CELL_PARAMETERS angstrom
-0.801 -1.976 6.790
6.149 -0.908 -2.808
1.252 2.257 1.254
```

Values from the calculation:
N(E_F): 4.12 states/eV/f.u.
E above lowest polymorph: 0.83 eV per formula unit
Space-group type: C2/m (12)
Energy of formation from the pure elements: 1.15 eV per atom
Calculated total energy: -2.85 eV/atom

***

No. 9
SmFe3Si3: relaxed, GGA-PBE. Values from VASP.

The structure in Quantum ESPRESSO input format:
```
&SYSTEM
  ibrav = 0, nat = 14, ntyp = 3
/
ATOMIC_SPECIES
Si 28.09 Si.upf
Fe 55.84 Fe.upf
Sm 150.36 Sm.upf
ATOMIC_POSITIONS angstrom
Si 2.932 -1.792 -0.713
Si 2.567 -4.597 -2.075
Si 4.532 -1.940 2.780
Si -0.576 -4.837 2.881
Si 1.417 -1.550 2.812
Si -0.435 -3.482 0.052
Fe 3.045 -1.067 1.382
Fe 1.192 -3.000 -1.378
Fe -0.688 -5.562 0.786
Fe 2.904 -2.422 4.210
Fe 4.307 -3.390 -1.410
Fe -0.323 -2.757 2.147
Sm 2.609 -4.550 1.434
Sm 0.000 0.000 0.000
CELL_PARAMETERS angstrom
-0.281 -2.710 5.657
-0.730 -5.610 -2.723
6.229 -0.780 -0.065
```

Values from the calculation:
N(E_F): 7.67 states/eV/f.u.
Formation energy (no corrections): 0.021 eV/atom
E above lowest polymorph: 1.52 eV per formula unit
Space-group type: Pm-3n (223)
Calculated total energy: -6.60 eV/atom

***

No. 10
Ta2TcRu: relaxed, GGA-PBE. Values from VASP.

The structure in Quantum ESPRESSO input format:
```
&SYSTEM
  ibrav = 0, nat = 4, ntyp = 3
/
ATOMIC_SPECIES
Ru 101.07 Ru.upf
Tc 98.00 Tc.upf
Ta 180.95 Ta.upf
ATOMIC_POSITIONS angstrom
Ru 2.240 2.115 4.264
Tc -0.039 0.571 2.694
Ta 0.015 0.010 0.010
Ta 2.264 1.534 1.560
CELL_PARAMETERS angstrom
-2.209 1.755 1.479
-0.149 -2.158 2.338
4.558 3.088 3.141
```

Values from the calculation:
N(E_F): 2.56 states/eV/f.u.
Space-group type: P4/mmm (123)
Energy of formation from the pure elements: -0.42 eV per atom
Calculated total energy: -11.26 eV/atom

***

No. 11
MgBeSn: relaxed, GGA-PBE. Values from VASP.

The structure in Quantum ESPRESSO input format:
```
&SYSTEM
  ibrav = 0, nat = 6, ntyp = 3
/
ATOMIC_SPECIES
Be 9.01 Be.upf
Mg 24.30 Mg.upf
Sn 118.71 Sn.upf
ATOMIC_POSITIONS angstrom
Be 0.656 3.926 2.024
Be 2.554 2.893 2.480
Mg 2.572 3.968 0.081
Mg 2.556 5.267 3.524
Sn 0.641 1.524 1.199
Sn 4.473 2.883 4.439
CELL_PARAMETERS angstrom
3.801 0.003 0.023
0.005 4.833 -0.001
1.898 1.341 6.253
```

Values from the calculation:
N(E_F): 0.90 states/eV/f.u.
Space-group type: P1 (1)
Energy of formation from the pure elements: 0.10 eV per atom
Calculated total energy: -3.01 eV/atom

***

No. 12
PuPa3Sb4: relaxed, GGA-PBE. Values from VASP.

The structure in Quantum ESPRESSO input format:
```
&SYSTEM
  ibrav = 0, nat = 16, ntyp = 3
/
ATOMIC_SPECIES
Sb 121.76 Sb.upf
Pa 231.04 Pa.upf
Pu 244.00 Pu.upf
ATOMIC_POSITIONS angstrom
Sb 5.371 -0.577 2.095
Sb 6.104 -4.573 3.675
Sb 2.807 -3.907 0.884
Sb 0.261 -7.233 -0.321
Sb 9.498 -0.372 0.690
Sb 6.952 -3.697 -0.516
Sb 3.656 -3.032 -3.307
Sb 4.388 -7.027 -1.727
Pa 1.108 -6.007 2.392
Pa 3.659 -2.675 3.593
Pa 5.245 -5.804 0.978
Pa 1.948 -5.130 -1.823
Pa 4.514 -1.801 -0.610
Pa 7.812 -2.474 2.191
Pu 4.403 -6.680 5.192
Pu 0.364 -2.001 0.793
CELL_PARAMETERS angstrom
-1.825 -7.335 0.384
4.992 1.077 -5.617
6.592 -1.347 5.601
```

Values from the calculation:
N(E_F): 20.73 states/eV/f.u.
Formation energy (no corrections): -0.497 eV/atom
Space-group type: P2/c (13)
Calculated total energy: -7.91 eV/atom

***

Density for the records above, in order: 8.40, 5.26, 5.78, 6.96, 6.26, 6.46, 7.08, 3.68, 5.40, 14.48, 4.40, 9.98 Mg/m³